# 1
A plane-wave DFT calculation with GGA-PBE was carried out for crystalline ScTa2Pb at its relaxed geometry.

Output
Spin magnetization   0.00 μB per cell
Calculated formation energy   0.05 eV per atom
Electronic total energy   -8.386 eV/atom
Symmetry   Pmm2

The structure in CIF format:
```
data_ScTa2Pb
_cell_length_a 3.540
_cell_length_b 3.558
_cell_length_c 6.588
_cell_angle_alpha 90.00
_cell_angle_beta 90.00
_cell_angle_gamma 90.00
_symmetry_space_group_name_H-M 'P 1'
_symmetry_Int_Tables_number 1
loop_
_symmetry_equiv_pos_as_xyz
'x,y,z'
loop_
_atom_site_label
_atom_site_type_symbol
_atom_site_fract_x
_atom_site_fract_y
_atom_site_fract_z
Sc1 Sc 0.000 0.000 0.000
Ta1 Ta 0.000 0.000 0.542
Ta2 Ta 0.500 0.500 0.743
Pb1 Pb 0.500 0.500 0.271
```

=====

# 2
A plane-wave DFT calculation with GGA-PBE was carried out for crystalline SmHfCu2 at its relaxed geometry.

Output
Spin magnetization   0.00 μB per cell
Calculated formation energy   -0.12 eV per atom
Electronic total energy   -5.836 eV/atom
Symmetry   P4/mmm

The structure in CIF format:
```
data_SmHfCu2
_cell_length_a 3.370
_cell_length_b 3.370
_cell_length_c 6.871
_cell_angle_alpha 90.00
_cell_angle_beta 90.00
_cell_angle_gamma 90.00
_symmetry_space_group_name_H-M 'P 1'
_symmetry_Int_Tables_number 1
loop_
_symmetry_equiv_pos_as_xyz
'x,y,z'
loop_
_atom_site_label
_atom_site_type_symbol
_atom_site_fract_x
_atom_site_fract_y
_atom_site_fract_z
Sm1 Sm 0.000 0.000 0.000
Hf1 Hf 0.000 0.000 0.500
Cu1 Cu 0.500 0.500 0.299
Cu2 Cu 0.500 0.500 0.701
```

=====

# 3
A plane-wave DFT calculation with GGA-PBE was carried out for crystalline DyCuO3 at its relaxed geometry.

Output
Spin magnetization   0.00 μB per cell
Electronic total energy   -6.788 eV/atom
Symmetry   Pbcm
Uncorrected formation energy   -2.074 eV per atom

The structure in CIF format:
```
data_DyCuO3
_cell_length_a 3.787
_cell_length_b 12.308
_cell_length_c 5.322
_cell_angle_alpha 90.00
_cell_angle_beta 90.00
_cell_angle_gamma 90.00
_symmetry_space_group_name_H-M 'P 1'
_symmetry_Int_Tables_number 1
loop_
_symmetry_equiv_pos_as_xyz
'x,y,z'
loop_
_atom_site_label
_atom_site_type_symbol
_atom_site_fract_x
_atom_site_fract_y
_atom_site_fract_z
Dy1 Dy 0.246 0.082 0.250
Dy2 Dy 0.246 0.418 0.750
Dy3 Dy 0.754 0.582 0.250
Dy4 Dy 0.754 0.918 0.750
Cu1 Cu 0.413 0.673 0.750
Cu2 Cu 0.413 0.827 0.250
Cu3 Cu 0.587 0.173 0.750
Cu4 Cu 0.587 0.327 0.250
O1 O 0.243 0.580 0.510
O2 O 0.243 0.580 0.990
O3 O 0.243 0.920 0.010
O4 O 0.243 0.920 0.490
O5 O 0.344 0.250 0.000
O6 O 0.344 0.250 0.500
O7 O 0.656 0.750 0.000
O8 O 0.656 0.750 0.500
O9 O 0.757 0.080 0.510
O10 O 0.757 0.080 0.990
O11 O 0.757 0.420 0.010
O12 O 0.757 0.420 0.490
```

=====

# 4
A plane-wave DFT calculation with GGA-PBE was carried out for crystalline K3La at its relaxed geometry.

Output
Spin magnetization   0.26 μB per cell
Calculated formation energy   0.36 eV per atom
Electronic total energy   -1.693 eV/atom
Symmetry   P2/m

The structure in CIF format:
```
data_K3La
_cell_length_a 3.703
_cell_length_b 7.152
_cell_length_c 8.429
_cell_angle_alpha 90.00
_cell_angle_beta 98.72
_cell_angle_gamma 90.00
_symmetry_space_group_name_H-M 'P 1'
_symmetry_Int_Tables_number 1
loop_
_symmetry_equiv_pos_as_xyz
'x,y,z'
loop_
_atom_site_label
_atom_site_type_symbol
_atom_site_fract_x
_atom_site_fract_y
_atom_site_fract_z
K1 K 0.000 0.000 0.000
K2 K 0.187 0.500 0.736
K3 K 0.813 0.500 0.264
La1 La 0.500 0.000 0.500
```

=====

# 5
A plane-wave DFT calculation with GGA-PBE was carried out for crystalline CeSm4HoS8 at its relaxed geometry.

Output
Spin magnetization   1.68 μB per cell
Electronic total energy   -6.365 eV/atom
Symmetry   R3m
Uncorrected formation energy   -1.907 eV per atom

The structure in CIF format:
```
data_CeSm4HoS8
_cell_length_a 8.208
_cell_length_b 8.208
_cell_length_c 8.208
_cell_angle_alpha 60.32
_cell_angle_beta 60.32
_cell_angle_gamma 60.32
_symmetry_space_group_name_H-M 'P 1'
_symmetry_Int_Tables_number 1
loop_
_symmetry_equiv_pos_as_xyz
'x,y,z'
loop_
_atom_site_label
_atom_site_type_symbol
_atom_site_fract_x
_atom_site_fract_y
_atom_site_fract_z
Ce1 Ce 0.000 0.000 0.000
Sm1 Sm 0.124 0.624 0.624
Sm2 Sm 0.248 0.248 0.248
Sm3 Sm 0.624 0.124 0.624
Sm4 Sm 0.624 0.624 0.124
Ho1 Ho 0.624 0.624 0.624
S1 S 0.381 0.381 0.381
S2 S 0.387 0.387 0.848
S3 S 0.387 0.848 0.387
S4 S 0.406 0.859 0.859
S5 S 0.848 0.387 0.387
S6 S 0.859 0.406 0.859
S7 S 0.859 0.859 0.406
S8 S 0.865 0.865 0.865
```

=====

# 6
A plane-wave DFT calculation with GGA-PBE was carried out for crystalline Cs3RbAu at its relaxed geometry.

Output
Spin magnetization   0.00 μB per cell
Calculated formation energy   -0.09 eV per atom
Electronic total energy   -1.452 eV/atom
Symmetry   Fd-3m

The structure in CIF format:
```
data_Cs3RbAu
_cell_length_a 13.730
_cell_length_b 13.730
_cell_length_c 13.730
_cell_angle_alpha 60.00
_cell_angle_beta 60.00
_cell_angle_gamma 60.00
_symmetry_space_group_name_H-M 'P 1'
_symmetry_Int_Tables_number 1
loop_
_symmetry_equiv_pos_as_xyz
'x,y,z'
loop_
_atom_site_label
_atom_site_type_symbol
_atom_site_fract_x
_atom_site_fract_y
_atom_site_fract_z
Cs1 Cs 0.060 0.060 0.690
Cs2 Cs 0.060 0.690 0.060
Cs3 Cs 0.060 0.690 0.690
Cs4 Cs 0.310 0.310 0.940
Cs5 Cs 0.310 0.940 0.310
Cs6 Cs 0.310 0.940 0.940
Cs7 Cs 0.690 0.060 0.060
Cs8 Cs 0.690 0.060 0.690
Cs9 Cs 0.690 0.690 0.060
Cs10 Cs 0.940 0.310 0.310
Cs11 Cs 0.940 0.310 0.940
Cs12 Cs 0.940 0.940 0.310
Rb1 Rb 0.000 0.500 0.500
Rb2 Rb 0.500 0.000 0.500
Rb3 Rb 0.500 0.500 0.000
Rb4 Rb 0.500 0.500 0.500
Au1 Au 0.000 0.000 0.000
Au2 Au 0.000 0.000 0.500
Au3 Au 0.000 0.500 0.000
Au4 Au 0.500 0.000 0.000
```

=====

# 7
A plane-wave DFT calculation with GGA-PBE was carried out for crystalline Lu2NpAg at its relaxed geometry.

Output
Spin magnetization   4.70 μB per cell
Calculated formation energy   0.12 eV per atom
Electronic total energy   -6.088 eV/atom
Symmetry   P4/mmm

The structure in CIF format:
```
data_Lu2NpAg
_cell_length_a 3.328
_cell_length_b 3.328
_cell_length_c 8.952
_cell_angle_alpha 90.00
_cell_angle_beta 90.00
_cell_angle_gamma 90.00
_symmetry_space_group_name_H-M 'P 1'
_symmetry_Int_Tables_number 1
loop_
_symmetry_equiv_pos_as_xyz
'x,y,z'
loop_
_atom_site_label
_atom_site_type_symbol
_atom_site_fract_x
_atom_site_fract_y
_atom_site_fract_z
Lu1 Lu 0.000 0.000 0.224
Lu2 Lu 0.000 0.000 0.776
Np1 Np 0.500 0.500 0.500
Ag1 Ag 0.500 0.500 0.000
```

=====

# 8
A plane-wave DFT calculation with GGA-PBE was carried out for crystalline Pu3ThSn4 at its relaxed geometry.

Output
Spin magnetization   5.83 μB per cell
Calculated formation energy   -0.36 eV per atom
Electronic total energy   -8.662 eV/atom
Symmetry   Pmmm

The structure in CIF format:
```
data_Pu3ThSn4
_cell_length_a 3.191
_cell_length_b 5.843
_cell_length_c 11.673
_cell_angle_alpha 90.00
_cell_angle_beta 90.00
_cell_angle_gamma 90.00
_symmetry_space_group_name_H-M 'P 1'
_symmetry_Int_Tables_number 1
loop_
_symmetry_equiv_pos_as_xyz
'x,y,z'
loop_
_atom_site_label
_atom_site_type_symbol
_atom_site_fract_x
_atom_site_fract_y
_atom_site_fract_z
Pu1 Pu 0.000 0.000 0.000
Pu2 Pu 0.000 0.500 0.249
Pu3 Pu 0.000 0.500 0.751
Th1 Th 0.000 0.000 0.500
Sn1 Sn 0.500 0.000 0.247
Sn2 Sn 0.500 0.000 0.753
Sn3 Sn 0.500 0.500 0.000
Sn4 Sn 0.500 0.500 0.500
```

=====

# 9
A plane-wave DFT calculation with GGA-PBE was carried out for crystalline MgSbBr2 at its relaxed geometry.

Output
Spin magnetization   0.00 μB per cell
Electronic total energy   -2.371 eV/atom
Symmetry   Cmmm
Uncorrected formation energy   -0.105 eV per atom

The structure in CIF format:
```
data_MgSbBr2
_cell_length_a 5.578
_cell_length_b 5.578
_cell_length_c 3.534
_cell_angle_alpha 90.00
_cell_angle_beta 90.00
_cell_angle_gamma 105.97
_symmetry_space_group_name_H-M 'P 1'
_symmetry_Int_Tables_number 1
loop_
_symmetry_equiv_pos_as_xyz
'x,y,z'
loop_
_atom_site_label
_atom_site_type_symbol
_atom_site_fract_x
_atom_site_fract_y
_atom_site_fract_z
Mg1 Mg 0.000 0.000 0.000
Sb1 Sb 0.500 0.500 0.000
Br1 Br 0.000 0.500 0.500
Br2 Br 0.500 0.000 0.500
```

=====

# 10
A plane-wave DFT calculation with GGA-PBE was carried out for crystalline CaSi2Ru at its relaxed geometry.

Output
Spin magnetization   0.00 μB per cell
Electronic total energy   -5.369 eV/atom
Symmetry   R3m
Uncorrected formation energy   0.161 eV per atom

The structure in CIF format:
```
data_CaSi2Ru
_cell_length_a 8.204
_cell_length_b 8.204
_cell_length_c 8.204
_cell_angle_alpha 22.89
_cell_angle_beta 22.89
_cell_angle_gamma 22.89
_symmetry_space_group_name_H-M 'P 1'
_symmetry_Int_Tables_number 1
loop_
_symmetry_equiv_pos_as_xyz
'x,y,z'
loop_
_atom_site_label
_atom_site_type_symbol
_atom_site_fract_x
_atom_site_fract_y
_atom_site_fract_z
Ca1 Ca 0.000 0.000 0.000
Si1 Si 0.227 0.227 0.227
Si2 Si 0.491 0.491 0.491
Ru1 Ru 0.761 0.761 0.761
```

=====

What did the third record say?
A plane-wave DFT calculation with GGA-PBE was carried out for crystalline DyCuO3 at its relaxed geometry.

Output
Spin magnetization   0.00 μB per cell
Electronic total energy   -6.788 eV/atom
Symmetry   Pbcm
Uncorrected formation energy   -2.074 eV per atom

The structure in CIF format:
```
data_DyCuO3
_cell_length_a 3.787
_cell_length_b 12.308
_cell_length_c 5.322
_cell_angle_alpha 90.00
_cell_angle_beta 90.00
_cell_angle_gamma 90.00
_symmetry_space_group_name_H-M 'P 1'
_symmetry_Int_Tables_number 1
loop_
_symmetry_equiv_pos_as_xyz
'x,y,z'
loop_
_atom_site_label
_atom_site_type_symbol
_atom_site_fract_x
_atom_site_fract_y
_atom_site_fract_z
Dy1 Dy 0.246 0.082 0.250
Dy2 Dy 0.246 0.418 0.750
Dy3 Dy 0.754 0.582 0.250
Dy4 Dy 0.754 0.918 0.750
Cu1 Cu 0.413 0.673 0.750
Cu2 Cu 0.413 0.827 0.250
Cu3 Cu 0.587 0.173 0.750
Cu4 Cu 0.587 0.327 0.250
O1 O 0.243 0.580 0.510
O2 O 0.243 0.580 0.990
O3 O 0.243 0.920 0.010
O4 O 0.243 0.920 0.490
O5 O 0.344 0.250 0.000
O6 O 0.344 0.250 0.500
O7 O 0.656 0.750 0.000
O8 O 0.656 0.750 0.500
O9 O 0.757 0.080 0.510
O10 O 0.757 0.080 0.990
O11 O 0.757 0.420 0.010
O12 O 0.757 0.420 0.490
```

=====

What did the sixth record say?
A plane-wave DFT calculation with GGA-PBE was carried out for crystalline Cs3RbAu at its relaxed geometry.

Output
Spin magnetization   0.00 μB per cell
Calculated formation energy   -0.09 eV per atom
Electronic total energy   -1.452 eV/atom
Symmetry   Fd-3m

The structure in CIF format:
```
data_Cs3RbAu
_cell_length_a 13.730
_cell_length_b 13.730
_cell_length_c 13.730
_cell_angle_alpha 60.00
_cell_angle_beta 60.00
_cell_angle_gamma 60.00
_symmetry_space_group_name_H-M 'P 1'
_symmetry_Int_Tables_number 1
loop_
_symmetry_equiv_pos_as_xyz
'x,y,z'
loop_
_atom_site_label
_atom_site_type_symbol
_atom_site_fract_x
_atom_site_fract_y
_atom_site_fract_z
Cs1 Cs 0.060 0.060 0.690
Cs2 Cs 0.060 0.690 0.060
Cs3 Cs 0.060 0.690 0.690
Cs4 Cs 0.310 0.310 0.940
Cs5 Cs 0.310 0.940 0.310
Cs6 Cs 0.310 0.940 0.940
Cs7 Cs 0.690 0.060 0.060
Cs8 Cs 0.690 0.060 0.690
Cs9 Cs 0.690 0.690 0.060
Cs10 Cs 0.940 0.310 0.310
Cs11 Cs 0.940 0.310 0.940
Cs12 Cs 0.940 0.940 0.310
Rb1 Rb 0.000 0.500 0.500
Rb2 Rb 0.500 0.000 0.500
Rb3 Rb 0.500 0.500 0.000
Rb4 Rb 0.500 0.500 0.500
Au1 Au 0.000 0.000 0.000
Au2 Au 0.000 0.000 0.500
Au3 Au 0.000 0.500 0.000
Au4 Au 0.500 0.000 0.000
```